## MgCd2Si (PBE)

Data for MgCd2Si after structural relaxation. Values from VASP.

Summary:
Raw formation energy, eV per formula unit: 0.45
E, eV/f.u.: -8.4
Space group: Pm
Polymorph energy (0 for the lowest one), meV per atom: 0

The structure in Quantum ESPRESSO input format:
```
&SYSTEM
  ibrav = 0, nat = 4, ntyp = 3
/
ATOMIC_SPECIES
Si 28.09 Si.upf
Cd 112.41 Cd.upf
Mg 24.30 Mg.upf
CELL_PARAMETERS angstrom
4.267 0.000 0.000
0.000 2.965 0.030
0.000 1.630 6.554
ATOMIC_POSITIONS crystal
Si 0.500 0.952 0.704
Cd 0.000 0.820 0.002
Cd 0.500 0.186 0.256
Mg 0.000 0.542 0.538
```